[1]
Density functional theory data (PBE-GGA) for a relaxed structure of KCa4P.

a = 6.963 Å, b = 6.963 Å, c = 6.963 Å
α = 60.00°, β = 60.00°, γ = 60.00°
Atoms (fractional coordinates):
K: 0.000 0.000 0.000
Ca: 0.377 0.377 0.377
Ca: 0.377 0.377 0.870
Ca: 0.377 0.870 0.377
Ca: 0.870 0.377 0.377
P: 0.750 0.750 0.750

Values from the calculation:
**E**: -12.1 eV per cell
**Symmetry**: F-43m (216)

[2]
Density functional theory data (PBE-GGA) for a relaxed structure of KCaP.

a = 4.728 Å, b = 4.728 Å, c = 5.535 Å
α = 90.00°, β = 90.00°, γ = 120.00°
Atoms (fractional coordinates):
K: 0.000 0.000 0.000
Ca: 0.333 0.667 0.465
P: 0.667 0.333 0.368

Values from the calculation:
**E**: -10.2 eV per cell
**Symmetry**: P3m1 (156)

[3]
Density functional theory data (PBE-GGA) for a relaxed structure of K2CaP.

a = 4.641 Å, b = 4.641 Å, c = 5.659 Å
α = 90.00°, β = 90.00°, γ = 90.00°
Atoms (fractional coordinates):
K: 0.000 0.500 0.000
K: 0.500 0.000 0.000
Ca: 0.000 0.000 0.500
P: 0.500 0.500 0.500

Values from the calculation:
**E**: -10.1 eV per cell
**Symmetry**: P4/mmm (123)

[4]
Density functional theory data (PBE-GGA) for a relaxed structure of K2CaP.

a = 12.951 Å, b = 12.951 Å, c = 12.951 Å
α = 159.51°, β = 159.51°, γ = 29.14°
Atoms (fractional coordinates):
K: 0.090 0.625 0.965
K: 0.375 0.340 0.465
K: 0.660 0.125 0.035
K: 0.875 0.910 0.535
Ca: 0.250 0.750 0.500
Ca: 0.500 0.500 0.000
P: 0.000 0.000 0.000
P: 0.750 0.250 0.500

Values from the calculation:
**E**: -19.0 eV per cell
**Symmetry**: I-42d (122)

[5]
Density functional theory data (PBE-GGA) for a relaxed structure of KCa3P.

a = 5.765 Å, b = 5.765 Å, c = 5.765 Å
α = 90.00°, β = 90.00°, γ = 90.00°
Atoms (fractional coordinates):
K: 0.000 0.000 0.000
Ca: 0.000 0.500 0.500
Ca: 0.500 0.000 0.500
Ca: 0.500 0.500 0.000
P: 0.500 0.500 0.500

Values from the calculation:
**E**: -14.5 eV per cell
**Symmetry**: Pm-3m (221)

[6]
Density functional theory data (PBE-GGA) for a relaxed structure of KCaP2.

a = 4.121 Å, b = 6.308 Å, c = 6.308 Å
α = 41.63°, β = 90.00°, γ = 90.00°
Atoms (fractional coordinates):
K: 0.000 0.000 0.000
Ca: 0.500 0.743 0.743
P: 0.000 0.283 0.283
P: 0.500 0.386 0.386

Values from the calculation:
**E**: -16.1 eV per cell
**Symmetry**: Amm2 (38)

[7]
Density functional theory data (PBE-GGA) for a relaxed structure of KCa2P2.

a = 6.727 Å, b = 6.727 Å, c = 6.727 Å
α = 136.67°, β = 136.67°, γ = 62.95°
Atoms (fractional coordinates):
K: 0.000 0.000 0.000
Ca: 0.250 0.750 0.500
Ca: 0.750 0.250 0.500
P: 0.381 0.381 0.000
P: 0.619 0.619 0.000

Values from the calculation:
**E**: -19.0 eV per cell
**Symmetry**: I4/mmm (139)

[8]
Density functional theory data (PBE-GGA) for a relaxed structure of KCaP2.

a = 5.359 Å, b = 5.359 Å, c = 3.283 Å
α = 90.13°, β = 90.13°, γ = 106.32°
Atoms (fractional coordinates):
K: 0.000 0.000 0.000
Ca: 0.500 0.500 0.000
P: 0.000 0.500 0.500
P: 0.500 0.000 0.500

Values from the calculation:
**E**: -14.9 eV per cell
**Symmetry**: C2/m (12)

[9]
Density functional theory data (PBE-GGA) for a relaxed structure of K2CaP.

a = 10.261 Å, b = 10.261 Å, c = 4.336 Å
α = 102.00°, β = 102.00°, γ = 21.71°
Atoms (fractional coordinates):
K: 0.150 0.150 0.148
K: 0.850 0.850 0.852
Ca: 0.000 0.000 0.500
P: 0.500 0.500 0.000

Values from the calculation:
**E**: -11.2 eV per cell
**Symmetry**: C2/m (12)

[10]
Density functional theory data (PBE-GGA) for a relaxed structure of K2Ca2P.

a = 7.743 Å, b = 7.743 Å, c = 7.166 Å
α = 90.00°, β = 90.00°, γ = 90.00°
Atoms (fractional coordinates):
K: 0.182 0.318 0.000
K: 0.318 0.818 0.000
K: 0.682 0.182 0.000
K: 0.818 0.682 0.000
Ca: 0.185 0.685 0.500
Ca: 0.315 0.185 0.500
Ca: 0.685 0.815 0.500
Ca: 0.815 0.315 0.500
P: 0.000 0.000 0.500
P: 0.500 0.500 0.500

Values from the calculation:
**E**: -25.6 eV per cell
**Symmetry**: P4/mbm (127)

[11]
Density functional theory data (PBE-GGA) for a relaxed structure of KCaP2.

a = 5.377 Å, b = 5.377 Å, c = 5.377 Å
α = 129.64°, β = 129.64°, γ = 73.98°
Atoms (fractional coordinates):
K: 0.000 0.000 0.000
Ca: 0.500 0.500 0.000
P: 0.250 0.750 0.500
P: 0.750 0.250 0.500

Values from the calculation:
**E**: -14.9 eV per cell
**Symmetry**: I4/mmm (139)

[12]
Density functional theory data (PBE-GGA) for a relaxed structure of K4CaP2.

a = 9.335 Å, b = 9.335 Å, c = 9.335 Å
α = 138.24°, β = 138.24°, γ = 60.54°
Atoms (fractional coordinates):
K: 0.000 0.500 0.500
K: 0.248 0.248 0.000
K: 0.500 0.000 0.500
K: 0.752 0.752 0.000
Ca: 0.000 0.000 0.000
P: 0.435 0.435 0.000
P: 0.565 0.565 0.000

Values from the calculation:
**E**: -15.9 eV per cell
**Symmetry**: I4/mmm (139)

no.,D(E_F) (states/eV per cell)
1,7.45
2,0.16
3,1.05
4,6.01
5,3.51
6,0.79
7,2.80
8,1.39
9,0.94
10,7.42
11,1.55
12,4.85